## Zn2CoW (PBE-GGA)

Data for Zn2CoW after structural relaxation.

Cell lengths 5.2403, 8.6423, 2.5781 Å; angles 90.00, 106.26, 90.00 degrees
Space group C2/m (No. 12)
One atom of each set of equivalent atoms:
Zn 0.2500 0.2500 0.0000 [4 per cell]
Co 0.0000 0.0000 0.5000 [2 per cell]
W 0.0000 0.5000 0.5000 [2 per cell]

Results
**VASP energy**: -5.4046 eV per atom
**Energy of formation from the pure elements**: 1.0 eV per formula unit
**Spin magnetization**: 0.455 μB per atom
**Offset from the most stable computed form**: 0.202 eV/atom

***

## Zn2CoW (PBE-GGA)

Data for Zn2CoW after structural relaxation.

Cell lengths 6.8316, 6.8316, 4.9660 Å; angles 90.00, 90.00, 90.00 degrees
Space group I-42d (No. 122)
One atom of each set of equivalent atoms:
Zn 0.2229 0.2500 0.1250 [8 per cell]
Co 0.0000 0.0000 0.0000 [4 per cell]
W 0.0000 0.0000 0.5000 [4 per cell]

Results
**VASP energy**: -4.9895 eV per atom
**Energy of formation from the pure elements**: 2.6 eV per formula unit
**Spin magnetization**: 0.000 μB per atom
**Offset from the most stable computed form**: 0.617 eV/atom

***

## ZnCoW3 (PBE-GGA)

Data for ZnCoW3 after structural relaxation.

Cell lengths 4.4880, 4.4880, 4.4880 Å; angles 90.00, 90.00, 90.00 degrees
Space group Pm-3m (No. 221)
One atom of each set of equivalent atoms:
Zn 0.0000 0.0000 0.0000 [1 per cell]
Co 0.5000 0.5000 0.5000 [1 per cell]
W 0.0000 0.0000 0.5000 [3 per cell]

Results
**VASP energy**: -7.2085 eV per atom
**Energy of formation from the pure elements**: 11.2 eV per formula unit
**Spin magnetization**: 0.000 μB per atom
**Offset from the most stable computed form**: 0.823 eV/atom

***

## Zn2CoW (PBE-GGA)

Data for Zn2CoW after structural relaxation.

Cell lengths 2.7375, 2.7375, 26.1231 Å; angles 90.00, 90.00, 120.00 degrees
Space group R-3m (No. 166, hexagonal axes)
One atom of each set of equivalent atoms:
Zn 0.0000 0.0000 0.2443 [6 per cell]
Co 0.0000 0.0000 0.5000 [3 per cell]
W 0.0000 0.0000 0.0000 [3 per cell]

Results
**VASP energy**: -5.3888 eV per atom
**Energy of formation from the pure elements**: 1.1 eV per formula unit
**Spin magnetization**: 0.408 μB per atom
**Offset from the most stable computed form**: 0.218 eV/atom